## w
LaScTc GGA-PBE relaxed; total magnetic moment = 0.00 μB/f.u.
1.0
-3.119 -3.325 -0.861
-0.354 -1.801 -4.261
1.406 -4.347 -0.805
La Sc Tc
1 1 1
direct
0.750 0.750 0.750
0.000 0.000 0.000
0.500 0.500 0.500

***

## x
LaScTc GGA-PBE relaxed; total magnetic moment = 0.00 μB/f.u.
1.0
-4.332 1.453 -1.129
0.583 -3.960 2.475
-0.157 1.809 2.932
La Sc Tc
1 1 1
direct
0.000 0.000 0.920
0.667 0.333 0.389
0.333 0.667 0.691

***

Tell me which of them is the least stable. Sure, it is w.

***

## w
LaScTc GGA-PBE relaxed; total magnetic moment = 0.00 μB/f.u.
1.0
6.627 -0.002 0.002
5.737 3.301 0.244
0.890 -0.019 3.311
La Sc Tc
1 1 1
direct
0.031 0.031 0.969
0.292 0.292 0.708
0.677 0.677 0.323

***

## x
LaScTc GGA-PBE relaxed; total magnetic moment = 0.00 μB/f.u.
1.0
-4.141 -2.739 -0.727
0.958 -3.565 -3.399
1.632 1.545 4.486
La Sc Tc
1 1 1
direct
0.990 0.990 0.000
0.334 0.334 0.000
0.676 0.676 0.000

***

Tell me which of them is the least stable. Sure, it is x.

***

## w
LaSc3Tc GGA-PBE relaxed; total magnetic moment = 0.00 μB/f.u.
1.0
-0.303 0.184 5.103
4.631 -2.143 0.352
2.151 4.641 -0.039
Sc Tc La
3 1 1
direct
0.000 0.500 0.000
0.500 0.000 0.000
0.000 0.000 0.500
0.000 0.000 0.000
0.500 0.500 0.500

***

## x
LaSc3Tc GGA-PBE relaxed; total magnetic moment = 0.00 μB/f.u.
1.0
5.007 0.000 0.000
0.000 5.007 0.000
0.000 0.000 5.007
Sc Tc La
3 1 1
direct
0.000 0.500 0.000
0.000 0.000 0.500
0.500 0.000 0.000
0.500 0.500 0.500
0.000 0.000 0.000

***

Tell me which of them is the least stable. Sure, it is x.

***

## w
LaScTe2 GGA-PBE relaxed; total magnetic moment = 0.84 μB/f.u.
1.0
7.577 0.336 -0.011
6.244 4.306 -0.011
0.002 0.001 4.179
La Sc Te
1 1 2
direct
0.451 0.451 0.625
0.234 0.234 0.124
0.038 0.038 0.126
0.777 0.777 0.625

***

## x
LaScTe2 GGA-PBE relaxed; total magnetic moment = 1.52 μB/f.u.
1.0
7.770 0.004 0.002
5.624 5.361 -0.002
-6.667 -2.758 2.884
La Sc Te
1 1 2
direct
0.454 0.454 0.000
0.209 0.709 0.500
0.055 0.055 0.000
0.781 0.281 0.500

***

Tell me which of them is the least stable. Sure, it is w.

***

## w
LaScTe2 GGA-PBE relaxed; total magnetic moment = 1.60 μB/f.u.
1.0
0.000 3.811 3.811
3.811 0.000 3.811
3.811 3.811 0.000
Sc Te La
1 2 1
direct
0.000 0.000 0.000
0.250 0.250 0.250
0.750 0.750 0.750
0.500 0.500 0.500

***

## x
LaScTe2 GGA-PBE relaxed; total magnetic moment = 0.00 μB/f.u.
1.0
-2.202 3.445 -1.435
-1.382 0.121 -4.105
-7.428 -1.947 0.144
Sc Te La
1 2 1
direct
0.250 0.250 0.250
0.990 0.990 0.031
0.510 0.510 0.469
0.750 0.750 0.750

***

## y
LaScTe2 GGA-PBE relaxed; total magnetic moment = 0.00 μB/f.u.
1.0
-4.592 -4.720 2.076
4.363 -2.074 4.934
-2.818 1.120 7.794
Sc Te La
2 4 2
direct
0.500 0.500 0.000
0.250 0.750 0.500
0.587 0.125 0.250
0.163 0.625 0.250
0.375 0.413 0.750
0.875 0.837 0.750
0.000 0.000 0.000
0.750 0.250 0.500

***

Tell me which of them is the least stable. Sure, it is y.

***

## w
LaScTe2 GGA-PBE relaxed; total magnetic moment = 0.00 μB/f.u.
1.0
-1.085 -4.297 -4.398
-2.169 -2.475 2.954
-3.776 2.041 -1.062
La Sc Te
1 1 2
direct
0.000 0.375 0.375
0.500 0.875 0.875
0.000 0.875 0.875
0.500 0.375 0.375

***

## x
LaScTe2 GGA-PBE relaxed; total magnetic moment = 0.55 μB/f.u.
1.0
3.976 0.000 0.000
0.000 3.956 -0.021
0.000 2.180 7.376
La Sc Te
1 1 2
direct
0.500 0.250 0.250
0.500 0.750 0.750
0.000 0.895 0.998
0.000 0.605 0.502

***

Tell me which of them is the least stable. Sure, it is x.

***

## w
LaScTe2 GGA-PBE relaxed; total magnetic moment = 0.00 μB/f.u.
1.0
4.253 0.000 0.000
2.127 3.684 0.000
2.127 1.228 7.563
La Sc Te
1 1 2
direct
0.497 0.497 0.509
0.670 0.670 0.989
0.073 0.073 0.782
0.260 0.260 0.220

***

## x
LaScTe2 GGA-PBE relaxed; total magnetic moment = 1.77 μB/f.u.
1.0
-0.888 -4.299 -3.206
-3.067 -4.124 1.771
-4.932 -0.829 -2.130
La Sc Te
1 1 2
direct
0.500 0.500 0.500
0.750 0.750 0.750
0.000 0.000 0.000
0.250 0.250 0.250

***

## y
LaScTe2 GGA-PBE relaxed; total magnetic moment = 0.00 μB/f.u.
1.0
-1.410 -3.164 -2.173
-1.111 -1.879 3.457
-5.414 5.762 -1.031
La Sc Te
1 1 2
direct
0.221 0.881 0.228
0.471 0.631 0.728
0.840 0.501 0.466
0.602 0.262 0.990

***

## z
LaScTe2 GGA-PBE relaxed; total magnetic moment = 1.21 μB/f.u.
1.0
-2.089 -3.077 0.744
2.226 -0.789 2.968
-4.528 4.163 4.502
La Sc Te
1 1 2
direct
0.500 0.500 0.250
0.500 0.500 0.750
0.000 0.000 0.983
0.000 0.000 0.517

***

Tell me which of them is the least stable. Sure, it is x.

***

## w
La2ThSc GGA-PBE relaxed; total magnetic moment = 0.00 μB/f.u.
1.0
-2.998 1.564 1.181
-2.619 0.818 -2.302
-6.624 -9.602 1.336
La Th Sc
2 1 1
direct
0.085 0.085 0.745
0.248 0.248 0.256
0.667 0.667 0.998
0.500 0.500 0.501

***

## x
La2ThSc GGA-PBE relaxed; total magnetic moment = 0.00 μB/f.u.
1.0
-4.258 2.497 -2.844
-5.255 -2.186 0.242
-4.100 2.747 2.845
Sc Th La
1 1 2
direct
0.500 0.500 0.500
0.000 0.000 0.000
0.250 0.250 0.250
0.750 0.750 0.750

***

Tell me which of them is the least stable. Sure, it is x.

***

## w
LaTmThSc GGA-PBE relaxed; total magnetic moment = 0.00 μB/f.u.
1.0
-0.176 -2.133 2.871
3.472 -0.791 -0.375
2.302 7.421 5.656
La Tm Th Sc
1 1 1 1
direct
0.000 0.000 0.081
0.500 0.500 0.810
0.000 0.000 0.562
0.500 0.500 0.332

***

## x
LaTmThSc GGA-PBE relaxed; total magnetic moment = 0.00 μB/f.u.
1.0
5.587 0.000 0.000
2.794 4.839 0.000
2.794 1.613 4.562
Sc Tm Th La
1 1 1 1
direct
0.000 0.000 0.000
0.500 0.500 0.500
0.750 0.750 0.750
0.250 0.250 0.250

***

Tell me which of them is the least stable. Sure, it is x.

***

## w
LaYThSc GGA-PBE relaxed; total magnetic moment = 0.00 μB/f.u.
1.0
-3.491 -0.819 -0.267
-0.022 -1.028 3.445
-2.327 9.041 2.682
La Y Th Sc
1 1 1 1
direct
0.000 0.000 0.085
0.500 0.500 0.809
0.000 0.000 0.559
0.500 0.500 0.332

***

## x
LaYThSc GGA-PBE relaxed; total magnetic moment = 0.00 μB/f.u.
1.0
5.621 0.000 0.000
2.810 4.868 0.000
2.810 1.623 4.589
Y Sc Th La
1 1 1 1
direct
0.500 0.500 0.500
0.000 0.000 0.000
0.250 0.250 0.250
0.750 0.750 0.750

***

Tell me which of them is the least stable. Sure, it is x.

***

## w
LaSc3Ti GGA-PBE relaxed; total magnetic moment = 0.00 μB/f.u.
1.0
5.128 0.000 0.000
0.000 5.128 0.000
0.000 0.000 5.128
Sc Ti La
3 1 1
direct
0.000 0.500 0.000
0.000 0.000 0.500
0.500 0.000 0.000
0.500 0.500 0.500
0.000 0.000 0.000

***

## x
LaSc3Ti GGA-PBE relaxed; total magnetic moment = 0.02 μB/f.u.
1.0
-2.587 4.191 -1.601
-4.476 -2.283 1.254
0.309 2.010 4.763
Sc Ti La
3 1 1
direct
0.000 0.500 0.000
0.000 0.000 0.500
0.500 0.000 0.000
0.000 0.000 0.000
0.500 0.500 0.500

***

Tell me which of them is the least stable. Sure, it is w.

***

## w
LaSc2Ti2 GGA-PBE relaxed; total magnetic moment = 1.60 μB/f.u.
1.0
8.603 0.000 0.000
0.000 8.603 0.000
0.000 0.000 3.235
Sc Ti La
4 4 2
direct
0.377 0.877 0.000
0.877 0.623 0.000
0.623 0.123 0.000
0.123 0.377 0.000
0.170 0.670 0.500
0.670 0.830 0.500
0.830 0.330 0.500
0.330 0.170 0.500
0.000 0.000 0.000
0.500 0.500 0.000

***

## x
LaSc2Ti2 GGA-PBE relaxed; total magnetic moment = 0.00 μB/f.u.
1.0
-4.901 -2.150 6.604
1.473 -8.221 -1.583
2.640 0.090 1.988
Sc Ti La
4 4 2
direct
0.176 0.676 0.500
0.676 0.824 0.500
0.824 0.324 0.500
0.324 0.176 0.500
0.389 0.889 0.000
0.889 0.611 0.000
0.611 0.111 0.000
0.111 0.389 0.000
0.000 0.000 0.000
0.500 0.500 0.000

***

Tell me which of them is the least stable. Sure, it is w.